Entry 1
This record from Alexandria via LeMat-Bulk describes Sb2PbIF after structural relaxation. The functional is PBE.

Unit cell a=4.7695 b=4.7695 c=6.4025 alpha=90.00 beta=90.00 gamma=90.00
Positions (direct):
Sb  0.0000  0.5000  0.0000
Sb  0.5000  0.0000  0.0000
Pb  0.0000  0.0000  0.5000
I  0.5000  0.5000  0.5000
F  0.5000  0.5000  0.0000

Entry 2
This record from Alexandria via LeMat-Bulk describes Sb2PbIF after structural relaxation. The functional is PBE.

Unit cell a=5.9481 b=5.9481 c=6.0497 alpha=90.00 beta=90.00 gamma=90.00
Positions (direct):
Sb  0.0000  0.5000  0.0000
Sb  0.5000  0.0000  0.0000
Pb  0.0000  0.0000  0.0000
I  0.0000  0.0000  0.5000
F  0.5000  0.5000  0.5000

entry 1 ends up most stable, edging out the next structure by 0.720 eV/atom.

Entry 1
This record from Alexandria via LeMat-Bulk describes Te2PbIF after structural relaxation. The functional is PBE.

Unit cell a=4.7934 b=4.7934 c=6.4949 alpha=90.00 beta=90.00 gamma=90.00
Positions (direct):
Te  0.0000  0.5000  0.0000
Te  0.5000  0.0000  0.0000
Pb  0.0000  0.0000  0.5000
I  0.5000  0.5000  0.5000
F  0.5000  0.5000  0.0000

Entry 2
This record from Alexandria via LeMat-Bulk describes Te2PbIF after structural relaxation. The functional is PBE.

Unit cell a=6.1070 b=6.1070 c=6.1131 alpha=90.00 beta=90.00 gamma=90.00
Positions (direct):
Te  0.0000  0.5000  0.0000
Te  0.5000  0.0000  0.0000
Pb  0.0000  0.0000  0.0000
I  0.0000  0.0000  0.5000
F  0.5000  0.5000  0.5000

entry 1 ends up most stable, edging out the next structure by 0.587 eV/atom.

Entry 1
This record from Alexandria via LeMat-Bulk describes PdIF2 after structural relaxation. The functional is PBE.

Unit cell a=4.4333 b=4.4333 c=4.4333 alpha=60.00 beta=60.00 gamma=60.00
Positions (direct):
Pd  0.0000  0.0000  0.0000
I  0.5000  0.5000  0.5000
F  0.2500  0.2500  0.2500
F  0.7500  0.7500  0.7500

Entry 2
This record from Alexandria via LeMat-Bulk describes PdIF2 after structural relaxation. The functional is PBE.

Unit cell a=8.7477 b=8.7477 c=8.7477 alpha=153.79 beta=153.79 gamma=37.40
Positions (direct):
Pd  0.0000  0.0000  0.0000
Pd  0.7500  0.2500  0.5000
I  0.2500  0.7500  0.5000
I  0.5000  0.5000  0.0000
F  0.1434  0.6250  0.0184
F  0.3750  0.3934  0.5184
F  0.6066  0.1250  0.9816
F  0.8750  0.8566  0.4816

entry 2 ends up most stable, edging out the next structure by 0.263 eV/atom.

Entry 1
This record from Alexandria via LeMat-Bulk describes PdIF after structural relaxation. The functional is PBE.

Unit cell a=4.2734 b=4.6690 c=6.4886 alpha=90.00 beta=95.53 gamma=90.00
Positions (direct):
Pd  0.1504  0.2500  0.4224
Pd  0.8496  0.7500  0.5776
I  0.3874  0.7500  0.2832
I  0.6126  0.2500  0.7168
F  0.1891  0.7500  0.8190
F  0.8109  0.2500  0.1810

Entry 2
This record from Alexandria via LeMat-Bulk describes PdIF after structural relaxation. The functional is PBE.

Unit cell a=3.8766 b=3.8766 c=4.8752 alpha=90.00 beta=90.00 gamma=120.00
Positions (direct):
Pd  0.0000  0.0000  0.0000
I  0.6667  0.3333  0.7083
F  0.3333  0.6667  0.1970

entry 1 ends up most stable, edging out the next structure by 0.122 eV/atom.

Entry 1
This record from Alexandria via LeMat-Bulk describes SbPdI2F after structural relaxation. The functional is PBE.

Unit cell a=5.7960 b=5.7960 c=4.1945 alpha=90.00 beta=90.00 gamma=90.00
Positions (direct):
Sb  0.0000  0.0000  0.0000
Pd  0.5000  0.5000  0.0000
I  0.0000  0.5000  0.5000
I  0.5000  0.0000  0.5000
F  0.0000  0.0000  0.5000

Entry 2
This record from Alexandria via LeMat-Bulk describes SbPdI2F after structural relaxation. The functional is PBE.

Unit cell a=5.4409 b=5.4409 c=5.1684 alpha=90.00 beta=90.00 gamma=90.00
Positions (direct):
Sb  0.0000  0.0000  0.0000
Pd  0.0000  0.0000  0.5000
I  0.0000  0.5000  0.5000
I  0.5000  0.0000  0.5000
F  0.5000  0.5000  0.0000

entry 2 ends up most stable, edging out the next structure by 0.032 eV/atom.

Entry 1
This record from Alexandria via LeMat-Bulk describes PmIF after structural relaxation. The functional is PBE.

Unit cell a=6.1149 b=4.1750 c=6.4581 alpha=90.00 beta=90.50 gamma=90.00
Positions (direct):
Pm  0.0000  0.0000  0.0000
Pm  0.2246  0.5000  0.4601
I  0.5163  0.0000  0.2050
I  0.7486  0.5000  0.6837
F  0.1016  0.5000  0.1000
F  0.2227  0.0000  0.7130

Entry 2
This record from Alexandria via LeMat-Bulk describes PmIF after structural relaxation. The functional is PBE.

Unit cell a=3.8306 b=4.2098 c=11.5046 alpha=90.46 beta=92.08 gamma=90.02
Positions (direct):
Pm  0.0153  0.2533  0.1487
Pm  0.9847  0.7467  0.8513
I  0.4671  0.2432  0.6899
I  0.5329  0.7568  0.3101
F  0.0057  0.7513  0.0593
F  0.9943  0.2487  0.9407

Entry 3
This record from Alexandria via LeMat-Bulk describes PmIF after structural relaxation. The functional is PBE.

Unit cell a=4.1740 b=4.1740 c=4.8069 alpha=90.00 beta=90.00 gamma=120.00
Positions (direct):
Pm  0.0000  0.0000  0.0000
I  0.3333  0.6667  0.5600
F  0.6667  0.3333  0.0803

entry 2 ends up most stable, edging out the next structure by 0.062 eV/atom.

Entry 1
This record from Alexandria via LeMat-Bulk describes PmI2F after structural relaxation. The functional is PBE.

Unit cell a=4.2137 b=4.2137 c=8.8349 alpha=103.27 beta=103.27 gamma=60.00
Positions (direct):
Pm  0.0000  0.0000  0.0000
I  0.2504  0.2504  0.7420
I  0.4159  0.4159  0.2581
F  0.6666  0.6666  0.0000

Entry 2
This record from Alexandria via LeMat-Bulk describes PmI2F after structural relaxation. The functional is PBE.

Unit cell a=8.5781 b=8.5781 c=8.5781 alpha=149.56 beta=149.40 gamma=43.70
Positions (direct):
Pm  0.0000  0.0000  0.0000
I  0.1368  0.6368  0.5000
I  0.8632  0.3632  0.5000
F  0.5000  0.0000  0.5000

entry 1 ends up most stable, edging out the next structure by 0.031 eV/atom.